A relaxed TbHo3Cd3 crystal. Source: Alexandria, functional PBE-GGA.

E	-3.15	eV per atom
total magnetic moment	0.00	μB per cell
DFT formation energy	-0.133	eV/atom

Geometry as extended XYZ:
```
14
Lattice="5.2898 -5.3267 0.0000 5.2898 5.3267 0.0000 0.0000 0.0000 6.9880" Properties=species:S:1:pos:R:3 pbc="T T T"
Tb 2.5152 0.0000 0.0000
Tb 8.0644 0.0000 0.0000
Ho 2.4941 0.0000 3.4940
Ho 5.2898 2.7798 0.0000
Ho 5.2898 2.7420 3.4940
Ho 5.2898 -2.7420 3.4940
Ho 5.2898 -2.7798 0.0000
Ho 8.0856 0.0000 3.4940
Cd 2.6449 2.6634 1.7557
Cd 2.6449 2.6634 5.2322
Cd 2.6449 -2.6634 1.7557
Cd 2.6449 -2.6634 5.2322
Cd 5.2898 0.0000 1.7460
Cd 5.2898 0.0000 5.2420
```


A relaxed VNi3Pd2 crystal. Source: Alexandria, functional PBE-GGA.

E	-6.20	eV per atom
total magnetic moment	0.00	μB per cell
polymorph energy (0 for the lowest one)	83	meV/atom
DFT formation energy	-0.060	eV/atom

Geometry as extended XYZ:
```
12
Lattice="0.0000 4.1092 7.1696 2.6171 0.0000 7.1696 2.6171 4.1092 0.0000" Properties=species:S:1:pos:R:3 pbc="T T T"
V 2.6171 4.1092 2.4040
V 2.6171 4.1092 11.9353
Ni 2.6171 2.0248 5.9633
Ni 2.6171 2.0248 8.3760
Ni 2.6171 4.1092 4.7767
Ni 2.6171 4.1092 9.5626
Ni 2.6171 6.1936 5.9633
Ni 2.6171 6.1936 8.3760
Pd 1.3085 2.0546 3.5848
Pd 3.9245 4.1092 7.1696
Pd 1.3096 4.1092 7.1696
Pd 3.9256 6.1639 10.7545
```


A relaxed BaCa2Ru crystal. Source: Alexandria, functional PBE-GGA.

E	-3.53	eV per atom
total magnetic moment	0.00	μB per cell
polymorph energy (0 for the lowest one)	38	meV/atom
DFT formation energy	0.271	eV/atom

Geometry as extended XYZ:
```
4
Lattice="4.0244 0.0000 0.0000 0.0000 4.1060 0.0000 -1.9968 0.0000 8.5009" Properties=species:S:1:pos:R:3 pbc="T T T"
Ba 0.0000 0.0000 0.0000
Ca 0.0006 0.0000 5.4298
Ca 2.0111 2.0530 3.2963
Ru 2.0111 2.0530 6.1743
```


A relaxed KEuCdBi crystal. Source: Alexandria, functional PBE-GGA.

E	-4.48	eV per atom
total magnetic moment	27.99	μB per cell
DFT formation energy	-0.435	eV/atom

Geometry as extended XYZ:
```
16
Lattice="8.1677 0.0000 0.0000 0.0000 8.1677 0.0000 0.0000 0.0000 8.1677" Properties=species:S:1:pos:R:3 pbc="T T T"
K 0.0000 0.0000 0.0000
K 0.0000 4.0839 4.0839
K 4.0839 0.0000 4.0839
K 4.0839 4.0839 0.0000
Eu 0.0000 0.0000 4.0839
Eu 0.0000 4.0839 0.0000
Eu 4.0839 0.0000 0.0000
Eu 4.0839 4.0839 4.0839
Cd 2.0419 2.0419 6.1258
Cd 2.0419 6.1258 2.0419
Cd 6.1258 2.0419 2.0419
Cd 6.1258 6.1258 6.1258
Bi 2.0419 2.0419 2.0419
Bi 2.0419 6.1258 6.1258
Bi 6.1258 2.0419 6.1258
Bi 6.1258 6.1258 2.0419
```


A relaxed Hf2PIr crystal. Source: Alexandria, functional PBE-GGA.

E	-8.66	eV per atom
total magnetic moment	0.00	μB per cell
DFT formation energy	-0.116	eV/atom

Geometry as extended XYZ:
```
12
Lattice="3.3251 0.0000 0.0000 -1.6625 2.8796 0.0000 0.0000 0.0000 24.8545" Properties=species:S:1:pos:R:3 pbc="T T T"
Hf 0.0000 0.0000 2.5065
Hf 0.0000 0.0000 22.3480
Hf 0.0000 1.9197 14.0632
Hf 0.0000 1.9197 19.0762
Hf 1.6625 0.9599 5.7783
Hf 1.6625 0.9599 10.7913
P 0.0000 0.0000 12.4273
P 0.0000 1.9197 4.1424
P 1.6625 0.9599 20.7121
Ir 0.0000 0.0000 0.0000
Ir 0.0000 1.9197 16.5697
Ir 1.6625 0.9599 8.2848
```


A relaxed Mn3W5 crystal. Source: Alexandria, functional PBE-GGA.

E	-11.38	eV per atom
total magnetic moment	3.59	μB per cell
polymorph energy (0 for the lowest one)	0	meV/atom
DFT formation energy	0.152	eV/atom

Geometry as extended XYZ:
```
16
Lattice="6.1664 0.0000 0.0000 0.0000 8.6363 0.0000 0.0000 0.0000 4.3070" Properties=species:S:1:pos:R:3 pbc="T T T"
Mn 0.0000 0.0000 0.0000
Mn 0.0000 2.1048 2.1535
Mn 0.0000 6.5315 2.1535
Mn 3.0832 2.2134 2.1535
Mn 3.0832 4.3182 0.0000
Mn 3.0832 6.4229 2.1535
W 0.0000 4.3182 0.0000
W 1.4972 0.0000 2.1535
W 1.5416 2.1591 0.0000
W 1.5416 6.4772 0.0000
W 1.5860 4.3182 2.1535
W 3.0832 0.0000 0.0000
W 4.5804 4.3182 2.1535
W 4.6248 2.1591 0.0000
W 4.6248 6.4772 0.0000
W 4.6692 0.0000 2.1535
```


A relaxed K2SiPdO4 crystal. Source: Alexandria, functional PBE-GGA.

E	-5.65	eV per atom
total magnetic moment	0.00	μB per cell
raw formation energy	-151.56	kJ/mol of atoms

Geometry as extended XYZ:
```
16
Lattice="0.0000 6.1336 9.1625 2.7953 0.0000 9.1625 2.7953 6.1336 0.0000" Properties=species:S:1:pos:R:3 pbc="T T T"
K 2.0965 4.6002 1.0084
K 3.4942 7.6670 5.5896
K 2.0965 4.6002 12.7353
K 3.4942 7.6670 17.3165
Si 2.0965 4.6002 6.8719
Si 3.4942 7.6670 11.4531
Pd 0.6988 1.5334 2.2906
Pd 4.8918 10.7339 16.0343
O 3.2215 3.4761 6.3377
O 3.2215 5.7243 7.4060
O 4.6192 6.5429 11.9872
O 4.6192 8.7912 10.9189
O 0.9715 3.4761 7.4060
O 0.9715 5.7243 6.3377
O 2.3691 6.5429 10.9189
O 2.3691 8.7912 11.9872
```


A relaxed NbV3Br crystal. Source: Alexandria, functional PBE-GGA.

E	-6.79	eV per atom
total magnetic moment	0.00	μB per cell
raw formation energy	99.53	kJ/mol of atoms
polymorph energy (0 for the lowest one)	0	meV/atom

Geometry as extended XYZ:
```
5
Lattice="4.4364 0.0000 0.0000 0.0000 4.4364 0.0000 0.0000 0.0000 4.4364" Properties=species:S:1:pos:R:3 pbc="T T T"
Nb 0.0000 0.0000 0.0000
V 0.0000 2.2182 2.2182
V 2.2182 0.0000 2.2182
V 2.2182 2.2182 0.0000
Br 2.2182 2.2182 2.2182
```


- Which formula does entry 4 have?
  KEuCdBi